TbMn4O8 | PBE+U | relaxed

Lattice parameters (Å, degrees): 5.7694 6.0236 6.1608 104.32 117.31 103.64
Last column: nearest neighbours and their distance in Å.
Fractional coordinates of all 13 atoms:
Tb  0.0000  0.0000  0.0000  6 O 2.28-2.39
Mn  0.2503  0.4891  0.7557  5 O 1.95-2.10
Mn  0.2844  0.5627  0.2882  4 O 1.90-2.02
Mn  0.7156  0.4373  0.7118  4 O 1.90-2.02
Mn  0.7497  0.5109  0.2443  5 O 1.95-2.10
O  0.0010  0.3270  0.3121  3 Mn 1.98-2.21
O  0.0236  0.7246  0.1978  2 Mn 1.93-1.97
O  0.4598  0.3100  0.2863  3 Mn 1.98-2.14
O  0.4850  0.2981  0.8277  3 Mn 1.90-2.10
O  0.5150  0.7019  0.1723  3 Mn 1.90-2.10
O  0.5402  0.6900  0.7137  3 Mn 1.98-2.14
O  0.9764  0.2754  0.8022  2 Mn 1.93-1.97
O  0.9990  0.6730  0.6879  3 Mn 1.98-2.21

Summary:
Uncorrected energy, eV/atom: -7.544